Record 1
# Tb2ErAu3 | Alexandria | PBE | relaxed
data_Tb2ErAu3
_chemical_formula_sum 'Tb2 Er1 Au3'
_symmetry_space_group_name_H-M 'P -3 m 1'
_symmetry_Int_Tables_number 164
_symmetry_space_group_name_Hall '-P 3 2"'
_cell_length_a 5.0848
_cell_length_b 5.0848
_cell_length_c 6.2650
_cell_angle_alpha 90.00
_cell_angle_beta 90.00
_cell_angle_gamma 120.00
loop_
_atom_site_label
_atom_site_type_symbol
_atom_site_fract_x
_atom_site_fract_y
_atom_site_fract_z
Tb1 Tb 0.3333 0.6667 0.1685
Er1 Er 0.0000 0.0000 0.5000
Au1 Au 0.0000 0.0000 0.0000
Au2 Au 0.3333 0.6667 0.6633
# offset from the most stable computed form	0.002	eV per atom
# density of states at the Fermi level	0.406	states/eV/atom

Record 2
# TbEr2Au2 | Alexandria | PBE | relaxed
data_TbEr2Au2
_chemical_formula_sum 'Tb2 Er4 Au4'
_symmetry_space_group_name_H-M 'P 4/m b m'
_symmetry_Int_Tables_number 127
_symmetry_space_group_name_Hall '-P 4 2ab'
_cell_length_a 8.132
_cell_length_b 8.132
_cell_length_c 3.778
_cell_angle_alpha 90.00
_cell_angle_beta 90.00
_cell_angle_gamma 90.00
loop_
_atom_site_label
_atom_site_type_symbol
_atom_site_fract_x
_atom_site_fract_y
_atom_site_fract_z
Tb1 Tb 0.000 0.000 0.000
Er1 Er 0.162 0.338 0.500
Au1 Au 0.133 0.633 0.000
# density of states at the Fermi level	1.291	states/eV/atom

Record 3
# TbEr2Au6 | Alexandria | PBE | relaxed
data_TbEr2Au6
_chemical_formula_sum 'Tb2 Er4 Au12'
_symmetry_space_group_name_H-M 'C 1 2/m 1'
_symmetry_Int_Tables_number 12
_cell_length_a 5.237
_cell_length_b 16.069
_cell_length_c 5.222
_cell_angle_alpha 90.00
_cell_angle_beta 119.41
_cell_angle_gamma 90.00
loop_
_symmetry_equiv_pos_as_xyz
'x,y,z'
'-x,-y,-z'
'-x,y,-z'
'x,-y,z'
'x+1/2,y+1/2,z'
'-x+1/2,-y+1/2,-z'
'-x+1/2,y+1/2,-z'
'x+1/2,-y+1/2,z'
loop_
_atom_site_label
_atom_site_type_symbol
_atom_site_fract_x
_atom_site_fract_y
_atom_site_fract_z
Tb1 Tb 0.000 0.000 0.000
Er1 Er 0.000 0.334 0.500
Au1 Au 0.156 0.500 0.328
Au2 Au 0.164 0.167 0.832
# density of states at the Fermi level	0.500	states/eV/atom

Record 4
# TbEr2Au | Alexandria | PBE | relaxed
data_TbEr2Au
_chemical_formula_sum 'Tb3 Er6 Au3'
_symmetry_space_group_name_H-M 'R -3 m'
_symmetry_Int_Tables_number 166
_symmetry_space_group_name_Hall '-R 3 2"'
_cell_length_a 3.6149
_cell_length_b 3.6149
_cell_length_c 32.4752
_cell_angle_alpha 90.00
_cell_angle_beta 90.00
_cell_angle_gamma 120.00
loop_
_atom_site_label
_atom_site_type_symbol
_atom_site_fract_x
_atom_site_fract_y
_atom_site_fract_z
Tb1 Tb 0.0000 0.0000 0.0000
Er1 Er 0.0000 0.0000 0.1045
Au1 Au 0.0000 0.0000 0.5000
# offset from the most stable computed form	0.392	eV per atom
# density of states at the Fermi level	1.300	states/eV/atom

Record order is preserved below.
Formation energy: -0.862 -0.710 -0.802 -0.061 eV per atom